## Na2Sn3Pt4 (PBE)

Data for a relaxed structure of Na2Sn3Pt4.

As for the space group: Cmce, No. 64. For the calculated formation energy, the calculation gives -0.476 eV per atom. The crystal system is orthorhombic.

a b c (Å): 6.1096 7.4314 8.6965
angles (deg): 90.00 110.56 90.00
Fractional coordinates of all 18 atoms:
1 Na 0.9118 0.4025 0.8235
2 Pt 0.1741 0.7500 0.8481
3 Pt 0.1708 0.9816 0.3417
4 Pt 0.3292 0.4816 0.6583
5 Pt 0.6741 0.7500 0.8481
6 Sn 0.0000 0.0000 0.0000
7 Sn 0.0064 0.7500 0.5128
8 Pt 0.8259 0.2500 0.1519
9 Na 0.0882 0.5975 0.1765
10 Pt 0.8292 0.0184 0.6583
11 Sn 0.5064 0.7500 0.5128
12 Sn 0.5000 0.5000 0.0000
13 Pt 0.3259 0.2500 0.1519
14 Sn 0.4936 0.2500 0.4872
15 Na 0.4118 0.0975 0.8235
16 Pt 0.6708 0.5184 0.3417
17 Na 0.5882 0.9025 0.1765
18 Sn 0.9936 0.2500 0.4872